(1)
A plane-wave DFT calculation with PBE was carried out for Al2TePt2 after structural relaxation.

a = 7.675 Å, b = 7.675 Å, c = 2.934 Å
α = 90.00°, β = 90.00°, γ = 90.00°
Atoms (fractional coordinates):
Te1 0.000 0.000 0.000
Te2 0.500 0.500 0.000
Al1 0.146 0.646 0.500
Al2 0.646 0.854 0.500
Al3 0.854 0.354 0.500
Al4 0.354 0.146 0.500
Pt1 0.356 0.856 0.000
Pt2 0.856 0.644 0.000
Pt3 0.644 0.144 0.000
Pt4 0.144 0.356 0.000

Calculated values
- space group = P4/mbm (127)

(2)
A plane-wave DFT calculation with PBE was carried out for AlTePt2 after structural relaxation.

a = 6.880 Å, b = 6.880 Å, c = 6.880 Å
α = 147.43°, β = 153.97°, γ = 42.16°
Atoms (fractional coordinates):
Te1 0.547 0.547 0.000
Al1 0.794 0.294 0.500
Pt1 0.926 0.926 0.000
Pt2 0.234 0.734 0.500

Calculated values
- space group = Imm2 (44)

(3)
A plane-wave DFT calculation with PBE was carried out for AlTePt2 after structural relaxation.

a = 3.095 Å, b = 3.145 Å, c = 7.333 Å
α = 90.00°, β = 90.00°, γ = 90.00°
Atoms (fractional coordinates):
Te1 0.500 0.500 0.250
Al1 0.500 0.500 0.750
Pt1 0.000 0.000 0.945
Pt2 0.000 0.000 0.555

Calculated values
- space group = Pmmm (47)

Number 1: excess energy over the best structure of this formula in the dataset 64 meV per atom, formation energy (no corrections) -59.18 kJ per mole of atoms, final energy -5.155 eV/atom. Number 2: excess energy over the best structure of this formula in the dataset 54 meV per atom, formation energy (no corrections) -37.90 kJ per mole of atoms, final energy -5.134 eV/atom. Number 3: excess energy over the best structure of this formula in the dataset 17 meV per atom, formation energy (no corrections) -41.50 kJ per mole of atoms, final energy -5.172 eV/atom.